This record from the Alexandria database describes a geometry-optimized ErThMgTc structure. The functional is PBE-GGA.

DFT total energy, eV/atom: -5.987
ΔE_f, meV per atom: -2

Cell: 7.224 7.224 7.224 Å, 90.00 90.00 90.00°
Space group F-43m (No. 216)
One atom of each set of equivalent atoms:
Er  0.000  0.000  0.000
Th  0.000  0.000  0.500
Mg  0.250  0.250  0.250
Tc  0.250  0.250  0.750



This record from the Alexandria database describes a geometry-optimized MnSbH structure. The functional is PBE-GGA.

Energy relative to the lowest polymorph listed for this composition, eV per atom: 0.114
DFT total energy, eV/atom: -5.381

Cell: 3.077 3.031 18.384 Å, 90.00 90.00 90.00°
Space group Amm2 (No. 38)
One atom of each set of equivalent atoms:
Mn  0.000  0.000  0.000
Mn  0.500  0.000  0.412
Sb  0.000  0.000  0.818
Sb  0.500  0.000  0.128
H  0.000  0.000  0.537
H  0.500  0.000  0.957



This record from the Alexandria database describes a geometry-optimized NaHg2Pb3 structure. The functional is PBE-GGA.

DFT total energy, eV/atom: -2.255
ΔE_f, meV per atom: -81

Cell: 15.669 4.455 11.152 Å, 90.00 117.56 90.00°
Space group C2/m (No. 12)
One atom of each set of equivalent atoms:
Na  0.130  0.000  0.111
Hg  0.035  0.500  0.884
Hg  0.210  0.000  0.887
Pb  0.040  0.000  0.364
Pb  0.123  0.500  0.631
Pb  0.211  0.500  0.376



This record from the Alexandria database describes a geometry-optimized CeEr8Tm2 structure. The functional is PBE-GGA.

Energy relative to the lowest polymorph listed for this composition, eV per atom: 0.043
DFT total energy, eV/atom: -4.499
ΔE_f, meV per atom: 172

Cell: 18.917 6.828 5.476 Å, 90.00 92.67 90.00°
Space group C2/m (No. 12)
One atom of each set of equivalent atoms:
Ce  0.000  0.000  0.000
Er  0.047  0.500  0.239
Er  0.134  0.266  0.734
Er  0.188  0.000  0.235
Tm  0.216  0.500  0.249



no.,theoretical density (g/cm³)
1,9.19
2,6.88
3,10.07
4,8.54